A geometry-optimized Pm8TlSi3I4 structure, computed with PBE.

a b c (Å): 9.1046 9.1046 9.1046
angles (deg): 57.40 57.40 57.40
Sites, in units of the cell vectors:
1 Pm 0.2213 0.7418 0.7418
2 Pm 0.2320 0.2320 0.2320
3 Pm 0.2582 0.2582 0.7787
4 Pm 0.2582 0.7787 0.2582
5 Pm 0.7418 0.2213 0.7418
6 Pm 0.7418 0.7418 0.2213
7 Pm 0.7680 0.7680 0.7680
8 Pm 0.7787 0.2582 0.2582
9 Tl 0.5000 0.5000 0.5000
10 Si 0.0000 0.0000 0.5000
11 Si 0.0000 0.5000 0.0000
12 Si 0.5000 0.0000 0.0000
13 I 0.0000 0.0000 0.0000
14 I 0.0000 0.5000 0.5000
15 I 0.5000 0.0000 0.5000
16 I 0.5000 0.5000 0.0000

Calculated values
uncorrected energy: -4.772 eV per atom
crystal system: trigonal

***

A geometry-optimized La3HoAu2 structure, computed with PBE.

a b c (Å): 5.1732 9.4797 7.2184
angles (deg): 90.00 90.00 90.00
Sites, in units of the cell vectors:
1 La 0.0000 0.0764 0.0000
2 La 0.0000 0.3382 0.3475
3 La 0.0000 0.6618 0.8475
4 La 0.0000 0.9236 0.5000
5 La 0.5000 0.1650 0.6587
6 La 0.5000 0.8350 0.1587
7 Ho 0.5000 0.4281 0.0077
8 Ho 0.5000 0.5719 0.5077
9 Au 0.0000 0.3522 0.7781
10 Au 0.0000 0.6478 0.2781
11 Au 0.5000 0.1625 0.2312
12 Au 0.5000 0.8375 0.7312

Calculated values
uncorrected energy: -4.879 eV per atom
crystal system: orthorhombic

***

A geometry-optimized ZrTa2Ga structure, computed with PBE.

a b c (Å): 6.0857 6.0857 6.0857
angles (deg): 101.39 101.39 127.22
Sites, in units of the cell vectors:
1 Zr 0.0000 0.0000 0.0000
2 Zr 0.7500 0.2500 0.5000
3 Ta 0.1597 0.6250 0.0347
4 Ta 0.3750 0.4097 0.5347
5 Ta 0.5903 0.1250 0.9653
6 Ta 0.8750 0.8403 0.4653
7 Ga 0.2500 0.7500 0.5000
8 Ga 0.5000 0.5000 0.0000

Calculated values
uncorrected energy: -8.386 eV per atom
crystal system: tetragonal

***

A geometry-optimized PmMgTe3 structure, computed with PBE.

a b c (Å): 6.6845 4.5648 12.6391
angles (deg): 90.00 102.77 90.00
Sites, in units of the cell vectors:
1 Pm 0.0212 0.2500 0.3361
2 Pm 0.9788 0.7500 0.6639
3 Mg 0.4832 0.2500 0.8870
4 Mg 0.5168 0.7500 0.1130
5 Te 0.2403 0.2500 0.5849
6 Te 0.2426 0.7500 0.9025
7 Te 0.3012 0.7500 0.2791
8 Te 0.6988 0.2500 0.7209
9 Te 0.7574 0.2500 0.0975
10 Te 0.7597 0.7500 0.4151

Calculated values
uncorrected energy: -4.076 eV per atom
crystal system: monoclinic

***

A geometry-optimized HfAlC structure, computed with PBE.

a b c (Å): 5.2076 5.2076 5.2076
angles (deg): 127.85 127.85 76.87
Sites, in units of the cell vectors:
1 Hf 0.2134 0.2134 0.0000
2 Hf 0.7866 0.7866 0.0000
3 Al 0.0000 0.5000 0.5000
4 Al 0.5000 0.0000 0.5000
5 C 0.2500 0.7500 0.5000
6 C 0.7500 0.2500 0.5000

Calculated values
excess energy over the best structure of this formula in the dataset: 39 kJ/mol of formula units
uncorrected energy: -8.041 eV per atom
crystal system: tetragonal

***

A geometry-optimized LaAgCl2 structure, computed with PBE.

a b c (Å): 3.7985 3.7985 7.3729
angles (deg): 90.00 90.00 90.00
Sites, in units of the cell vectors:
1 La 0.0000 0.0000 0.0000
2 Ag 0.5000 0.5000 0.2370
3 Cl 0.0000 0.0000 0.3805
4 Cl 0.5000 0.5000 0.7713

Calculated values
excess energy over the best structure of this formula in the dataset: 52 kJ/mol of formula units
uncorrected energy: -4.045 eV per atom
crystal system: tetragonal

***

A geometry-optimized K3Th3HgTe8 structure, computed with PBE.

a b c (Å): 9.2477 9.2477 9.7722
angles (deg): 118.21 118.21 60.05
Sites, in units of the cell vectors:
1 K 0.0000 0.0000 0.0000
2 K 0.0000 0.5000 0.0000
3 K 0.5000 0.0000 0.0000
4 Th 0.0000 0.5000 0.5000
5 Th 0.5000 0.0000 0.5000
6 Th 0.5000 0.5000 0.5000
7 Hg 0.0000 0.0000 0.5000
8 Te 0.2439 0.2439 0.7079
9 Te 0.2446 0.7193 0.7084
10 Te 0.2604 0.2604 0.2814
11 Te 0.2807 0.7554 0.2916
12 Te 0.7193 0.2446 0.7084
13 Te 0.7396 0.7396 0.7186
14 Te 0.7554 0.2807 0.2916
15 Te 0.7561 0.7561 0.2921

Calculated values
uncorrected energy: -4.441 eV per atom
crystal system: monoclinic

***

A geometry-optimized Cs2KPd2 structure, computed with PBE.

a b c (Å): 8.5915 8.5915 5.4128
angles (deg): 90.00 90.00 90.00
Sites, in units of the cell vectors:
1 Cs 0.1670 0.3330 0.0000
2 Cs 0.3330 0.8330 0.0000
3 Cs 0.6670 0.1670 0.0000
4 Cs 0.8330 0.6670 0.0000
5 K 0.0000 0.0000 0.5000
6 K 0.5000 0.5000 0.5000
7 Pd 0.1094 0.6094 0.5000
8 Pd 0.3906 0.1094 0.5000
9 Pd 0.6094 0.8906 0.5000
10 Pd 0.8906 0.3906 0.5000

Calculated values
uncorrected energy: -2.465 eV per atom
crystal system: tetragonal